# 1
The following is a PBEsol calculation of a geometry-optimized Ca2HgRu structure, from the Alexandria database.

Results
DFT total energy ... -3.5720 eV per atom
Magnetic moment ... 0.000 μB per atom
Mass density ... 6.88 g/cm³

abc: 9.485 9.485 9.485
angles: 20.56 20.56 20.56
Element x y z (fractional)
Ca1 0.239 0.239 0.239
Ca2 0.761 0.761 0.761
Hg1 0.000 0.000 0.000
Ru1 0.500 0.500 0.500

# 2
The following is a PBEsol calculation of a geometry-optimized CaHgRu structure, from the Alexandria database.

Results
Magnetic moment ... 0.181 μB per atom
Mass density ... 9.19 g/cm³
Excess energy over the best structure of this formula in the dataset ... 0 meV/atom

abc: 4.643 4.643 3.308
angles: 90.00 90.00 120.00
Element x y z (fractional)
Ca1 0.000 0.000 0.000
Hg1 0.667 0.333 0.500
Ru1 0.333 0.667 0.500

# 3
The following is a PBEsol calculation of a geometry-optimized CaHgRu structure, from the Alexandria database.

Results
Magnetic moment ... 0.044 μB per atom
Mass density ... 8.16 g/cm³
Excess energy over the best structure of this formula in the dataset ... 347 meV/atom

abc: 4.616 4.616 4.616
angles: 60.00 60.00 60.00
Element x y z (fractional)
Ca1 0.000 0.000 0.000
Hg1 0.750 0.750 0.750
Ru1 0.500 0.500 0.500